No. 1
PBE NiBiSb2, optimized geometry; magnetic moment = 0.00 Bohr magnetons per cell; SG = I-42d, No. 122; formation energy (no corrections) = 0.09 eV per atom; V = 30.73 Å³/atom
1.0
-3.1392 3.1392 6.2355
3.1392 -3.1392 6.2355
3.1392 3.1392 -6.2355
Ni Bi Sb
2 2 4
Direct
0.0000 0.0000 0.0000 Ni
0.7500 0.2500 0.5000 Ni
0.2500 0.7500 0.5000 Bi
0.5000 0.5000 0.0000 Bi
0.0459 0.6250 0.9209 Sb
0.3750 0.2959 0.4209 Sb
0.7041 0.1250 0.0791 Sb
0.8750 0.9541 0.5791 Sb

---

No. 2
PBE KGa2Te3, optimized geometry; magnetic moment = 0.00 Bohr magnetons per cell; SG = C2/m, No. 12; formation energy (no corrections) = -0.47 eV per atom; V = 38.43 Å³/atom
1.0
12.1571 -2.4483 0.0000
12.1571 2.4483 0.0000
-2.1922 0.0000 7.7466
K Ga Te
2 4 6
Direct
0.1498 0.1498 0.4409 K
0.8502 0.8502 0.5591 K
0.1975 0.1975 0.0088 Ga
0.4433 0.4433 0.0891 Ga
0.5567 0.5567 0.9109 Ga
0.8025 0.8025 0.9912 Ga
0.0913 0.0913 0.8017 Te
0.2789 0.2789 0.8234 Te
0.4438 0.4438 0.7611 Te
0.5562 0.5562 0.2389 Te
0.7211 0.7211 0.1766 Te
0.9087 0.9087 0.1983 Te

---

No. 3
PBE SrCoNi3, optimized geometry; magnetic moment = 2.46 Bohr magnetons per cell; SG = Pm-3m, No. 221; energy of formation from the pure elements = 2.1278 eV per atom; V = 20.58 Å³/atom
1.0
4.6863 0.0000 0.0000
0.0000 4.6863 0.0000
0.0000 0.0000 4.6863
Sr Co Ni
1 1 3
Direct
0.0000 0.0000 0.0000 Sr
0.5000 0.5000 0.5000 Co
0.0000 0.0000 0.5000 Ni
0.0000 0.5000 0.0000 Ni
0.5000 0.0000 0.0000 Ni

---

No. 4
PBE Tb3Dy2Er8, optimized geometry; magnetic moment = 0.00 Bohr magnetons per cell; SG = C2/m, No. 12; energy of formation from the pure elements = 0.0204 eV per atom; V = 30.72 Å³/atom
1.0
10.2384 -2.4851 0.0000
10.2384 2.4851 0.0000
-0.5952 0.0000 7.8492
Tb Dy Er
3 2 8
Direct
0.0000 0.0000 0.0000 Tb
0.4614 0.4614 0.6925 Tb
0.5386 0.5386 0.3075 Tb
0.2309 0.2309 0.8459 Dy
0.7691 0.7691 0.1541 Dy
0.0771 0.0771 0.6148 Er
0.1543 0.1543 0.2315 Er
0.3075 0.3075 0.4611 Er
0.3843 0.3843 0.0776 Er
0.6157 0.6157 0.9224 Er
0.6925 0.6925 0.5389 Er
0.8457 0.8457 0.7685 Er
0.9229 0.9229 0.3852 Er

---

No. 5
PBE CaPrRh2, optimized geometry; magnetic moment = 0.00 Bohr magnetons per cell; SG = P4/mmm, No. 123; energy of formation from the pure elements = -0.4909 eV per atom; V = 21.34 Å³/atom
1.0
4.9252 0.0000 0.0000
0.0000 4.9252 0.0000
0.0000 0.0000 3.5190
Ca Pr Rh
1 1 2
Direct
0.0000 0.0000 0.0000 Ca
0.5000 0.5000 0.0000 Pr
0.0000 0.5000 0.5000 Rh
0.5000 0.0000 0.5000 Rh

---

No. 6
PBE CaPr5Dy3, optimized geometry; magnetic moment = 0.00 Bohr magnetons per cell; SG = C2/c, No. 15; energy of formation from the pure elements = 0.1877 eV per atom; V = 35.52 Å³/atom
1.0
8.1891 -3.4696 0.0000
8.1891 3.4696 0.0000
-3.7872 0.0000 11.2522
Ca Pr Dy
2 10 6
Direct
0.2297 0.7703 0.7500 Ca
0.7703 0.2297 0.2500 Ca
0.0713 0.2812 0.8572 Pr
0.2812 0.0713 0.3572 Pr
0.3131 0.6869 0.2500 Pr
0.3878 0.3919 0.4525 Pr
0.3919 0.3878 0.9525 Pr
0.6081 0.6122 0.0475 Pr
0.6122 0.6081 0.5475 Pr
0.6869 0.3131 0.7500 Pr
0.7188 0.9287 0.6428 Pr
0.9287 0.7188 0.1428 Pr
0.0000 0.0000 0.0000 Dy
0.0000 0.0000 0.5000 Dy
0.1531 0.3590 0.6280 Dy
0.3590 0.1531 0.1280 Dy
0.6410 0.8469 0.8720 Dy
0.8469 0.6410 0.3720 Dy

---

> What is the V in the sixth record?

35.52 Å³/atom

---

> Which of these has the highest V?

KGa2Te3